Computed, not measured: a geometry-optimized RbCdGa2Ni structure at the GGA-PBE level of DFT.

```
RbCdGa2Ni
1.0
4.772 0.000 0.000
0.000 4.772 0.000
0.000 0.000 5.209
Rb Cd Ga Ni
1 1 2 1
direct
0.000 0.000 0.000
0.500 0.500 0.000
0.000 0.500 0.500
0.500 0.000 0.500
0.500 0.500 0.500
```

Summary:
Total magnetic moment, μB/f.u.: 0.000
D(E_F), states/eV/atom: 0.47
Energy, eV per atom: -2.81

Computed, not measured: a geometry-optimized Cd2GaNiRh structure at the GGA-PBE level of DFT.

```
Cd2GaNiRh
1.0
5.161 0.000 0.000
0.000 5.161 0.000
0.000 0.000 4.617
Cd Ga Ni Rh
2 1 1 1
direct
0.000 0.500 0.000
0.500 0.000 0.000
0.000 0.000 0.500
0.500 0.500 0.500
0.500 0.500 0.000
```

Summary:
Total magnetic moment, μB/f.u.: 1.149
D(E_F), states/eV/atom: 0.58
Energy, eV per atom: -3.03

Computed, not measured: a geometry-optimized Sc4CdGa2Ni structure at the GGA-PBE level of DFT.

```
Sc4CdGa2Ni
1.0
2.384 1.376 7.723
-2.384 1.376 7.723
0.000 -2.753 7.723
Sc Cd Ga Ni
4 1 2 1
direct
0.116 0.116 0.116
0.369 0.369 0.369
0.631 0.631 0.631
0.884 0.884 0.884
0.500 0.500 0.500
0.246 0.246 0.246
0.754 0.754 0.754
0.000 0.000 0.000
```

Summary:
Total magnetic moment, μB/f.u.: 0.000
D(E_F), states/eV/atom: 0.47
Energy, eV per atom: -5.26